Entry 1:
Zr2NbV | PBE | optimized geometry

## Properties
energy relative to the lowest polymorph listed for this composition	0.008	eV/atom
total energy	-8.915	eV per atom
DOS at the Fermi energy	6.5	states/eV/f.u.
calculated density	6.9	g cm⁻³
formation enthalpy at 0 K	0.1565	eV/atom

```
data_Zr2NbV
_cell_length_a 3.421
_cell_length_b 3.421
_cell_length_c 6.707
_cell_angle_alpha 90.00
_cell_angle_beta 90.00
_cell_angle_gamma 90.00
_symmetry_space_group_name_H-M 'P 4/m m m'
_symmetry_Int_Tables_number 123
_symmetry_space_group_name_Hall '-P 4 2'
loop_
_atom_site_label
_atom_site_fract_x
_atom_site_fract_y
_atom_site_fract_z
_atom_site_occupancy
Zr1 0.000 0.000 0.243 1
Nb1 0.500 0.500 0.500 1
V1 0.500 0.500 0.000 1
```

---

Entry 2:
ZrNbV3 | PBE | optimized geometry

## Properties
energy relative to the lowest polymorph listed for this composition	0.000	eV/atom
total energy	-8.123	eV per atom
DOS at the Fermi energy	4.0	states/eV/f.u.
calculated density	5.8	g cm⁻³
formation enthalpy at 0 K	1.0717	eV/atom

```
data_ZrNbV3
_cell_length_a 4.591
_cell_length_b 4.591
_cell_length_c 4.591
_cell_angle_alpha 90.00
_cell_angle_beta 90.00
_cell_angle_gamma 90.00
_symmetry_space_group_name_H-M 'P m -3 m'
_symmetry_Int_Tables_number 221
_symmetry_space_group_name_Hall '-P 4 2 3'
loop_
_atom_site_label
_atom_site_fract_x
_atom_site_fract_y
_atom_site_fract_z
_atom_site_occupancy
Zr1 0.000 0.000 0.000 1
Nb1 0.500 0.500 0.500 1
V1 0.000 0.500 0.500 1
```

---

Entry 3:
NbW | PBE | optimized geometry

## Properties
total energy	-8.861	eV per atom
DOS at the Fermi energy	4.3	states/eV/f.u.
calculated density	8.9	g cm⁻³
formation enthalpy at 0 K	2.6500	eV/atom

```
data_NbW
_cell_length_a 5.909
_cell_length_b 5.909
_cell_length_c 5.909
_cell_angle_alpha 90.00
_cell_angle_beta 90.00
_cell_angle_gamma 90.00
_symmetry_space_group_name_H-M 'F -4 3 m'
_symmetry_Int_Tables_number 216
_symmetry_space_group_name_Hall 'F -4 2 3'
loop_
_atom_site_label
_atom_site_fract_x
_atom_site_fract_y
_atom_site_fract_z
_atom_site_occupancy
Nb1 0.000 0.000 0.000 1
W1 0.250 0.250 0.750 1
```